Density functional theory data (GGA-PBE) for crystalline YH4Pd4 at its relaxed geometry.

## Properties
Density   8.889 g cm⁻³
Raw total energy   -4.95 eV/atom
Density of states at the Fermi level   1.07 states/eV/f.u.

a = 4.0286 Å, b = 5.3016 Å, c = 5.3015 Å
α = 81.73°, β = 67.67°, γ = 67.67°
Closest atoms and distances in Å follow each position.
Element x y z (fractional)
Y1 0.0000 0.0000 0.0000  4 H 2.57
H1 0.8401 0.4940 0.8258  4 Pd 1.87-2.06
H2 0.1599 0.5060 0.1742  4 Pd 1.87-2.06
H3 0.3340 0.8255 0.5065  4 Pd 1.87-2.06
H4 0.6660 0.1745 0.4935  4 Pd 1.87-2.06
Pd1 0.6079 0.5897 0.1946  4 H 1.87-2.06
Pd2 0.3921 0.4103 0.8054  4 H 1.87-2.06
Pd3 0.1977 0.1944 0.4103  4 H 1.87-2.06
Pd4 0.8023 0.8056 0.5897  4 H 1.87-2.06

=====

Density functional theory data (GGA-PBE) for crystalline YHPd3 at its relaxed geometry.

## Properties
Density   5.798 g cm⁻³
Offset from the most stable computed form   3.67 eV/f.u.
Density of states at the Fermi level   1.35 states/eV/f.u.

a = 5.6086 Å, b = 5.6086 Å, c = 5.6086 Å
α = 57.36°, β = 57.36°, γ = 57.36°
Closest atoms and distances in Å follow each position.
Element x y z (fractional)
Y1 0.8294 0.8294 0.8294  6 Pd 2.80-2.81
H1 0.0616 0.0616 0.0616  3 Pd 1.83
Pd1 0.8258 0.3324 0.8258  1 H 1.83
Pd2 0.3324 0.8258 0.8258  1 H 1.83
Pd3 0.8258 0.8258 0.3324  1 H 1.83

=====

Density functional theory data (GGA-PBE) for crystalline Y2HPd9 at its relaxed geometry.

## Properties
Density   9.632 g cm⁻³
Raw total energy   -5.65 eV/atom
Density of states at the Fermi level   10.61 states/eV/f.u.

a = 4.1523 Å, b = 4.1523 Å, c = 11.3641 Å
α = 90.00°, β = 90.00°, γ = 90.00°
Closest atoms and distances in Å follow each position.
Element x y z (fractional)
Y1 0.0000 0.0000 0.3162  12 Pd 2.88-2.95
Y2 0.0000 0.0000 0.6838  12 Pd 2.88-2.95
H1 0.0000 0.0000 0.0000  8 Pd 2.62
Pd1 0.5000 0.5000 0.0000  8 Pd 2.62
Pd2 0.5000 0.5000 0.3221  8 Pd 2.90-2.93, 4 Y 2.94
Pd3 0.5000 0.5000 0.6779  8 Pd 2.90-2.93, 4 Y 2.94
Pd4 0.5000 0.0000 0.1400  2 H 2.62, 2 Pd 2.62, 2 Y 2.88
Pd5 0.5000 0.0000 0.5000  8 Pd 2.90-2.94, 4 Y 2.95
Pd6 0.5000 0.0000 0.8600  2 H 2.62, 2 Pd 2.62, 2 Y 2.88
Pd7 0.0000 0.5000 0.1400  2 H 2.62, 2 Pd 2.62, 2 Y 2.88
Pd8 0.0000 0.5000 0.5000  8 Pd 2.90-2.94, 4 Y 2.95
Pd9 0.0000 0.5000 0.8600  2 H 2.62, 2 Pd 2.62, 2 Y 2.88

=====

Density functional theory data (GGA-PBE) for crystalline Y2H2Pd at its relaxed geometry.

## Properties
Density   6.217 g cm⁻³
Offset from the most stable computed form   1.94 eV/f.u.
Density of states at the Fermi level   4.36 states/eV/f.u.

a = 6.8773 Å, b = 6.8773 Å, c = 3.2330 Å
α = 90.00°, β = 90.00°, γ = 90.00°
Closest atoms and distances in Å follow each position.
Element x y z (fractional)
Y1 0.1793 0.6793 0.5000  6 H 2.55-2.64
Y2 0.6793 0.8207 0.5000  6 H 2.55-2.64
Y3 0.8207 0.3207 0.5000  6 H 2.55-2.64
Y4 0.3207 0.1793 0.5000  6 H 2.55-2.64
H1 0.3822 0.8822 0.0000  1 H 2.29, 2 Y 2.55
H2 0.8822 0.6178 0.0000  1 H 2.29, 2 Y 2.55
H3 0.6178 0.1178 0.0000  1 H 2.29, 2 Y 2.55
H4 0.1178 0.3822 0.0000  1 H 2.29, 2 Y 2.55
Pd1 0.0000 0.0000 0.0000  4 H 2.75, 8 Y 3.00
Pd2 0.5000 0.5000 0.0000  4 H 2.75, 8 Y 3.00

=====

Density functional theory data (GGA-PBE) for crystalline YHPd3 at its relaxed geometry.

## Properties
Density   8.523 g cm⁻³
Offset from the most stable computed form   2.70 eV/f.u.
Density of states at the Fermi level   3.34 states/eV/f.u.

a = 3.2851 Å, b = 3.2851 Å, c = 17.0598 Å
α = 90.00°, β = 90.00°, γ = 120.00°
Closest atoms and distances in Å follow each position.
Element x y z (fractional)
Y1 0.0000 0.0000 0.0000  6 Pd 2.83
Y2 0.0000 0.0000 0.5000  6 Pd 2.83
H1 0.3333 0.6667 0.7500  3 Pd 1.90
H2 0.6667 0.3333 0.2500  3 Pd 1.90
Pd1 0.0000 0.0000 0.2500  3 H 1.90
Pd2 0.0000 0.0000 0.7500  3 H 1.90
Pd3 0.3333 0.6667 0.8767  1 H 2.16
Pd4 0.3333 0.6667 0.6233  1 H 2.16
Pd5 0.6667 0.3333 0.3767  1 H 2.16
Pd6 0.6667 0.3333 0.1233  1 H 2.16

=====

Density functional theory data (GGA-PBE) for crystalline Y2HPd at its relaxed geometry.

## Properties
Density   5.798 g cm⁻³
Offset from the most stable computed form   0.07 eV/f.u.
Density of states at the Fermi level   2.48 states/eV/f.u.

a = 3.8916 Å, b = 3.8916 Å, c = 6.6211 Å
α = 72.91°, β = 72.91°, γ = 60.00°
Closest atoms and distances in Å follow each position.
Element x y z (fractional)
Y1 0.2405 0.2405 0.2786  3 H 2.64, 3 Pd 2.84
Y2 0.7595 0.7595 0.7214  3 H 2.64, 3 Pd 2.84
H1 0.5000 0.5000 0.5000  6 Y 2.64
Pd1 0.0000 0.0000 0.0000  6 Y 2.84